[1]
A plane-wave DFT calculation with SCAN was carried out for a crystal of CeMgAg relaxed with PBEsol.

Geometry as CIF:
```
data_CeMgAg
_chemical_formula_sum 'Ce3 Mg3 Ag3'
_cell_length_a 7.361
_cell_length_b 7.361
_cell_length_c 4.483
_cell_angle_alpha 90.00
_cell_angle_beta 90.00
_cell_angle_gamma 120.00
_symmetry_space_group_name_H-M 'P 1'
_symmetry_Int_Tables_number 1
_symmetry_space_group_name_Hall 'P 1'
loop_
_atom_site_label
_atom_site_type_symbol
_atom_site_fract_x
_atom_site_fract_y
_atom_site_fract_z
Ce1 Ce 0.000 0.424 0.000
Ce2 Ce 0.424 0.000 0.000
Ce3 Ce 0.576 0.576 0.000
Mg1 Mg 0.000 0.761 0.500
Mg2 Mg 0.239 0.239 0.500
Mg3 Mg 0.761 0.000 0.500
Ag1 Ag 0.000 0.000 0.000
Ag2 Ag 0.333 0.667 0.500
Ag3 Ag 0.667 0.333 0.500
```

Computed properties:
**DFT total energy**: -27.1545 eV/atom
**DOS at the Fermi energy**: 2.0033 states/eV per atom
**ΔH_f (0 K)**: -0.186 eV/atom

***

[2]
A plane-wave DFT calculation with SCAN was carried out for a crystal of Ce2AgPb relaxed with PBEsol.

Geometry as CIF:
```
data_Ce2AgPb
_chemical_formula_sum 'Ce2 Ag1 Pb1'
_cell_length_a 5.326
_cell_length_b 5.326
_cell_length_c 5.326
_cell_angle_alpha 60.00
_cell_angle_beta 60.00
_cell_angle_gamma 60.00
_symmetry_space_group_name_H-M 'P 1'
_symmetry_Int_Tables_number 1
_symmetry_space_group_name_Hall 'P 1'
loop_
_atom_site_label
_atom_site_type_symbol
_atom_site_fract_x
_atom_site_fract_y
_atom_site_fract_z
Ce1 Ce 0.250 0.250 0.250
Ce2 Ce 0.750 0.750 0.750
Ag1 Ag 0.000 0.000 0.000
Pb1 Pb 0.500 0.500 0.500
```

Computed properties:
**DFT total energy**: -49.4930 eV/atom
**DOS at the Fermi energy**: 0.8156 states/eV per atom
**ΔH_f (0 K)**: -0.424 eV/atom